(1)
A plane-wave DFT calculation with PBE was carried out for a relaxed structure of NaAcLuAl.

Calculated values
VASP energy = -3.398 eV per atom
calculated density = 6.41 g/cm³
energy of formation = 0.1 eV/f.u.

```
NaAcLuAl
1.0
0.000 3.883 3.883
3.883 0.000 3.883
3.883 3.883 0.000
Na Ac Lu Al
1 1 1 1
Cartesian
0.000 0.000 0.000
1.941 1.941 1.941
5.824 5.824 5.824
3.883 3.883 3.883
```

---

(2)
A plane-wave DFT calculation with PBE was carried out for a relaxed structure of Cs3Sn4I12.

Calculated values
VASP energy = -2.769 eV per atom
formation energy from raw total energies = -15.4 eV/f.u.
calculated density = 4.20 g/cm³

```
Cs3Sn4I12
1.0
-6.187 6.187 6.187
6.187 -6.187 6.187
6.187 6.187 -6.187
Cs Sn I
3 4 12
Cartesian
6.187 0.000 0.000
0.000 6.187 0.000
0.000 0.000 6.187
3.093 3.093 -3.093
3.093 -3.093 3.093
-3.093 3.093 3.093
3.093 3.093 3.093
6.187 -2.843 3.262
3.344 2.925 0.000
9.030 2.925 0.000
3.262 6.187 -2.843
2.925 0.000 3.344
6.187 2.843 3.262
0.000 3.344 2.925
3.262 6.187 2.843
2.925 0.000 9.030
-2.843 3.262 6.187
2.843 3.262 6.187
0.000 9.030 2.925
```